A plane-wave DFT calculation with GGA-PBE was carried out for a geometry-optimized BaInP structure.

abc: 5.335 5.335 5.335
angles: 60.00 60.00 60.00
Positions (direct):
P 0.500 0.500 0.500
In 0.000 0.000 0.000
Ba 0.750 0.750 0.750

Properties
* DFT total energy: -3.41 eV per atom
* ΔE_f: -0.17 eV/f.u.